Entry from Alexandria via LeMat-Bulk: crystalline Li2MnTc at its relaxed geometry (PBEsol).

Unit cell a=2.4254 b=4.0701 c=5.2807 alpha=90.00 beta=96.99 gamma=90.00
Space group Pm (No. 6)
Symmetry-distinct sites (fractional):
Li (0.0000, 0.0000, 0.0000) (multiplicity 1)
Li (0.2293, 0.5000, 0.7703) (multiplicity 1)
Mn (0.7389, 0.5000, 0.2970) (multiplicity 1)
Tc (0.5240, 0.0000, 0.4705) (multiplicity 1)

## Properties
Formation enthalpy at 0 K in eV/f.u.: 1.2

---

Entry from Alexandria via LeMat-Bulk: crystalline LaBiS2 at its relaxed geometry (PBEsol).

Unit cell a=4.1049 b=4.1049 c=25.7341 alpha=90.00 beta=90.00 gamma=120.00
Space group R-3m (No. 166, hexagonal axes)
Symmetry-distinct sites (fractional):
La (0.0000, 0.0000, 0.0000) (multiplicity 3)
Bi (0.0000, 0.0000, 0.5000) (multiplicity 3)
S (0.0000, 0.0000, 0.3932) (multiplicity 6)

## Properties
E_form (uncorrected) in eV per atom: -1.193

---

Entry from Alexandria via LeMat-Bulk: crystalline Ba2AgHg2 at its relaxed geometry (PBEsol).

Unit cell a=4.2355 b=4.2355 c=18.6867 alpha=90.00 beta=90.00 gamma=90.00
Space group I4/mmm (No. 139)
Symmetry-distinct sites (fractional):
Ba (0.0000, 0.0000, 0.1015) (multiplicity 4)
Ag (0.0000, 0.0000, 0.5000) (multiplicity 2)
Hg (0.0000, 0.5000, 0.2500) (multiplicity 4)

## Properties
Formation enthalpy at 0 K in eV/f.u.: -1.3

---

Entry from Alexandria via LeMat-Bulk: crystalline ReOs at its relaxed geometry (PBEsol).

Unit cell a=9.9417 b=2.7394 c=6.4480 alpha=90.00 beta=103.74 gamma=90.00
Space group Cm (No. 8)
Symmetry-distinct sites (fractional):
Re (0.0000, 0.0000, 0.0000) (multiplicity 2)
Re (0.0570, 0.0000, 0.6145) (multiplicity 2)
Re (0.3860, 0.0000, 0.2817) (multiplicity 2)
Os (0.1668, 0.5000, 0.3348) (multiplicity 2)
Os (0.2225, 0.5000, 0.9456) (multiplicity 2)
Os (0.3322, 0.0000, 0.6693) (multiplicity 2)

## Properties
Formation enthalpy at 0 K in eV/f.u.: -0.2

---

Entry from Alexandria via LeMat-Bulk: crystalline Ca2Re2P at its relaxed geometry (PBEsol).

Unit cell a=3.4918 b=3.4918 c=17.8295 alpha=90.00 beta=90.00 gamma=90.00
Space group I4/mmm (No. 139)
Symmetry-distinct sites (fractional):
Ca (0.0000, 0.0000, 0.0961) (multiplicity 4)
Re (0.0000, 0.5000, 0.2500) (multiplicity 4)
P (0.0000, 0.0000, 0.5000) (multiplicity 2)

## Properties
Formation enthalpy at 0 K in eV/f.u.: 0.4

---

Entry from Alexandria via LeMat-Bulk: crystalline Tc2B2Rh at its relaxed geometry (PBEsol).

Unit cell a=5.4774 b=5.4774 c=3.4779 alpha=90.00 beta=90.00 gamma=90.00
Space group P4/mbm (No. 127)
Symmetry-distinct sites (fractional):
Tc (0.1735, 0.3265, 0.0000) (multiplicity 4)
B (0.1154, 0.6154, 0.5000) (multiplicity 4)
Rh (0.0000, 0.0000, 0.5000) (multiplicity 2)

## Properties
Formation enthalpy at 0 K in eV/f.u.: -1.6

---

Entry from Alexandria via LeMat-Bulk: crystalline MgRu2Pb at its relaxed geometry (PBEsol).

Unit cell a=3.9868 b=3.9868 c=8.2441 alpha=90.00 beta=90.00 gamma=90.00
Space group I-4m2 (No. 119)
Symmetry-distinct sites (fractional):
Mg (0.0000, 0.0000, 0.0000) (multiplicity 2)
Ru (0.0000, 0.0000, 0.5000) (multiplicity 2)
Ru (0.0000, 0.5000, 0.7500) (multiplicity 2)
Pb (0.0000, 0.5000, 0.2500) (multiplicity 2)

## Properties
Formation enthalpy at 0 K in eV/f.u.: 1.7

---

Entry from Alexandria via LeMat-Bulk: crystalline Ti2Cu at its relaxed geometry (PBEsol).

Unit cell a=2.9000 b=2.9000 c=10.5698 alpha=90.00 beta=90.00 gamma=90.00
Space group I4/mmm (No. 139)
Symmetry-distinct sites (fractional):
Ti (0.0000, 0.0000, 0.1616) (multiplicity 4)
Cu (0.0000, 0.0000, 0.5000) (multiplicity 2)

## Properties
Formation enthalpy at 0 K in eV/f.u.: -0.3

---

Entry from Alexandria via LeMat-Bulk: crystalline SrAgGeMo2 at its relaxed geometry (PBEsol).

Unit cell a=5.1224 b=5.1224 c=4.7413 alpha=90.00 beta=90.00 gamma=90.00
Space group P4/mmm (No. 123)
Symmetry-distinct sites (fractional):
Sr (0.0000, 0.0000, 0.0000) (multiplicity 1)
Ag (0.5000, 0.5000, 0.5000) (multiplicity 1)
Ge (0.5000, 0.5000, 0.0000) (multiplicity 1)
Mo (0.0000, 0.5000, 0.5000) (multiplicity 2)

## Properties
Formation enthalpy at 0 K in eV/f.u.: 8.0

---

Entry from Alexandria via LeMat-Bulk: crystalline SiRhN2F at its relaxed geometry (PBEsol).

Unit cell a=3.6651 b=3.6651 c=3.3793 alpha=90.00 beta=90.00 gamma=90.00
Space group P4/mmm (No. 123)
Symmetry-distinct sites (fractional):
Si (0.0000, 0.0000, 0.0000) (multiplicity 1)
Rh (0.5000, 0.5000, 0.5000) (multiplicity 1)
N (0.0000, 0.5000, 0.0000) (multiplicity 2)
F (0.0000, 0.0000, 0.5000) (multiplicity 1)

## Properties
E_form (uncorrected) in eV per atom: -0.100

---

Entry from Alexandria via LeMat-Bulk: crystalline GaSiSe2 at its relaxed geometry (PBEsol).

Unit cell a=3.4533 b=3.4533 c=26.1803 alpha=90.00 beta=90.00 gamma=120.00
Space group R-3m (No. 166, hexagonal axes)
Symmetry-distinct sites (fractional):
Ga (0.0000, 0.0000, 0.0000) (multiplicity 3)
Si (0.0000, 0.0000, 0.5000) (multiplicity 3)
Se (0.0000, 0.0000, 0.1117) (multiplicity 6)

## Properties
E_form (uncorrected) in eV per atom: -0.149

---

Entry from Alexandria via LeMat-Bulk: crystalline LaTe2RuN at its relaxed geometry (PBEsol).

Unit cell a=6.1270 b=6.1270 c=3.9573 alpha=90.00 beta=90.00 gamma=90.00
Space group P4/mmm (No. 123)
Symmetry-distinct sites (fractional):
La (0.0000, 0.0000, 0.0000) (multiplicity 1)
Te (0.0000, 0.5000, 0.0000) (multiplicity 2)
Ru (0.5000, 0.5000, 0.5000) (multiplicity 1)
N (0.0000, 0.0000, 0.5000) (multiplicity 1)

## Properties
E_form (uncorrected) in eV per atom: 1.110

---

no.,theoretical density (Mg/m³)
1,5.354
2,5.466
3,7.764
4,21.987
5,7.387
6,10.202
7,10.991
8,5.951
9,6.140
10,6.512
11,4.712
12,5.692